# Ho3MgSc3 GGA-PBE optimized geometry
data_Ho3MgSc3
_chemical_formula_sum 'Ho6 Mg2 Sc6'
_symmetry_space_group_name_H-M 'P 63/m'
_symmetry_Int_Tables_number 176
_symmetry_space_group_name_Hall '-P 6c'
_cell_length_a 9.0489
_cell_length_b 9.0489
_cell_length_c 5.3465
_cell_angle_alpha 90.00
_cell_angle_beta 90.00
_cell_angle_gamma 120.00
loop_
_atom_site_label
_atom_site_fract_x
_atom_site_fract_y
_atom_site_fract_z
_atom_site_occupancy
Ho1 0.0990 0.6322 0.2500 1
Mg1 0.3333 0.6667 0.7500 1
Sc1 0.0517 0.8219 0.7500 1
# Uncorrected energy ... -68.3 eV for the cell shown
# Energy relative to the lowest polymorph listed for this composition ... 0 meV/atom
# Formation enthalpy at 0 K ... 0.0227 eV/atom
# N(E_F) ... 25.55 states/eV per cell

=====

# LiCa3Ac2S6 GGA-PBE optimized geometry
data_LiCa3Ac2S6
_chemical_formula_sum 'Li2 Ca6 Ac4 S12'
_symmetry_space_group_name_H-M 'C 1 2/m 1'
_symmetry_Int_Tables_number 12
_cell_length_a 7.1478
_cell_length_b 12.3818
_cell_length_c 7.1808
_cell_angle_alpha 90.00
_cell_angle_beta 109.30
_cell_angle_gamma 90.00
loop_
_symmetry_equiv_pos_as_xyz
'x,y,z'
'-x,-y,-z'
'-x,y,-z'
'x,-y,z'
'x+1/2,y+1/2,z'
'-x+1/2,-y+1/2,-z'
'-x+1/2,y+1/2,-z'
'x+1/2,-y+1/2,z'
loop_
_atom_site_label
_atom_site_fract_x
_atom_site_fract_y
_atom_site_fract_z
_atom_site_occupancy
Li1 0.0000 0.0000 0.0000 1
Ca1 0.0000 0.1649 0.5000 1
Ca2 0.0000 0.5000 0.5000 1
Ac1 0.0000 0.3330 0.0000 1
S1 0.2400 0.0000 0.7416 1
S2 0.2492 0.3365 0.7387 1
# Formation energy (no corrections) ... -1.97 eV/atom
# Uncorrected energy ... -129.2 eV for the cell shown
# N(E_F) ... 7.04 states/eV per cell

=====

# Ho2PuThSb4 GGA-PBE optimized geometry
data_Ho2PuThSb4
_chemical_formula_sum 'Ho2 Pu1 Th1 Sb4'
_symmetry_space_group_name_H-M 'P 1 2/m 1'
_symmetry_Int_Tables_number 10
_cell_length_a 7.6438
_cell_length_b 4.4336
_cell_length_c 7.6674
_cell_angle_alpha 90.00
_cell_angle_beta 109.56
_cell_angle_gamma 90.00
loop_
_symmetry_equiv_pos_as_xyz
'x,y,z'
'-x,-y,-z'
'-x,y,-z'
'x,-y,z'
loop_
_atom_site_label
_atom_site_fract_x
_atom_site_fract_y
_atom_site_fract_z
_atom_site_occupancy
Ho1 0.0000 0.0000 0.0000 1
Ho2 0.0000 0.5000 0.5000 1
Pu1 0.5000 0.0000 0.5000 1
Th1 0.5000 0.5000 0.0000 1
Sb1 0.2417 0.0000 0.7454 1
Sb2 0.2442 0.5000 0.2502 1
# Formation energy (no corrections) ... -0.95 eV/atom
# Uncorrected energy ... -55.0 eV for the cell shown
# N(E_F) ... 16.70 states/eV per cell

=====

# TmZnRuPt GGA-PBE optimized geometry
data_TmZnRuPt
_chemical_formula_sum 'Tm4 Zn4 Ru4 Pt4'
_symmetry_space_group_name_H-M 'F -4 3 m'
_symmetry_Int_Tables_number 216
_symmetry_space_group_name_Hall 'F -4 2 3'
_cell_length_a 6.4540
_cell_length_b 6.4540
_cell_length_c 6.4540
_cell_angle_alpha 90.00
_cell_angle_beta 90.00
_cell_angle_gamma 90.00
loop_
_atom_site_label
_atom_site_fract_x
_atom_site_fract_y
_atom_site_fract_z
_atom_site_occupancy
Tm1 0.0000 0.0000 0.0000 1
Zn1 0.0000 0.0000 0.5000 1
Ru1 0.2500 0.2500 0.7500 1
Pt1 0.2500 0.2500 0.2500 1
# Uncorrected energy ... -92.8 eV for the cell shown
# Formation enthalpy at 0 K ... -0.5353 eV/atom
# N(E_F) ... 8.82 states/eV per cell

=====

# Zn2CoOs GGA-PBE optimized geometry
data_Zn2CoOs
_chemical_formula_sum 'Zn4 Co2 Os2'
_symmetry_space_group_name_H-M 'C m m 2'
_symmetry_Int_Tables_number 35
_cell_length_a 2.7650
_cell_length_b 4.5414
_cell_length_c 8.7431
_cell_angle_alpha 90.00
_cell_angle_beta 90.00
_cell_angle_gamma 90.00
loop_
_symmetry_equiv_pos_as_xyz
'x,y,z'
'-x,-y,z'
'-x,y,z'
'x,-y,z'
'x+1/2,y+1/2,z'
'-x+1/2,-y+1/2,z'
'-x+1/2,y+1/2,z'
'x+1/2,-y+1/2,z'
loop_
_atom_site_label
_atom_site_fract_x
_atom_site_fract_y
_atom_site_fract_z
_atom_site_occupancy
Zn1 0.0000 0.0000 0.0000 1
Zn2 0.0000 0.5000 0.2626 1
Co1 0.0000 0.0000 0.5007 1
Os1 0.0000 0.5000 0.7369 1
# Uncorrected energy ... -40.0 eV for the cell shown
# Energy relative to the lowest polymorph listed for this composition ... 148 meV/atom
# Formation enthalpy at 0 K ... 0.2183 eV/atom
# N(E_F) ... 7.36 states/eV per cell

=====

# MgZrCu GGA-PBE optimized geometry
data_MgZrCu
_chemical_formula_sum 'Mg4 Zr4 Cu4'
_symmetry_space_group_name_H-M 'F -4 3 m'
_symmetry_Int_Tables_number 216
_symmetry_space_group_name_Hall 'F -4 2 3'
_cell_length_a 6.2462
_cell_length_b 6.2462
_cell_length_c 6.2462
_cell_angle_alpha 90.00
_cell_angle_beta 90.00
_cell_angle_gamma 90.00
loop_
_atom_site_label
_atom_site_fract_x
_atom_site_fract_y
_atom_site_fract_z
_atom_site_occupancy
Mg1 0.0000 0.0000 0.0000 1
Zr1 0.0000 0.0000 0.5000 1
Cu1 0.2500 0.2500 0.7500 1
# Uncorrected energy ... -55.4 eV for the cell shown
# Formation enthalpy at 0 K ... 0.1338 eV/atom
# N(E_F) ... 22.54 states/eV per cell

=====

# LiAl2CrP GGA-PBE optimized geometry
data_LiAl2CrP
_chemical_formula_sum 'Li1 Al2 Cr1 P1'
_symmetry_space_group_name_H-M 'P 4/m m m'
_symmetry_Int_Tables_number 123
_symmetry_space_group_name_Hall '-P 4 2'
_cell_length_a 4.3926
_cell_length_b 4.3926
_cell_length_c 4.3036
_cell_angle_alpha 90.00
_cell_angle_beta 90.00
_cell_angle_gamma 90.00
loop_
_atom_site_label
_atom_site_fract_x
_atom_site_fract_y
_atom_site_fract_z
_atom_site_occupancy
Li1 0.0000 0.0000 0.0000 1
Al1 0.0000 0.5000 0.0000 1
Cr1 0.0000 0.0000 0.5000 1
P1 0.5000 0.5000 0.5000 1
# Uncorrected energy ... -20.5 eV for the cell shown
# Formation enthalpy at 0 K ... 0.7893 eV/atom
# N(E_F) ... 2.97 states/eV per cell

=====

# PrSm6Y2Er3 GGA-PBE optimized geometry
data_PrSm6Y2Er3
_chemical_formula_sum 'Pr2 Sm12 Y4 Er6'
_symmetry_space_group_name_H-M 'C 1 2/m 1'
_symmetry_Int_Tables_number 12
_cell_length_a 6.2352
_cell_length_b 10.7948
_cell_length_c 11.8819
_cell_angle_alpha 90.00
_cell_angle_beta 100.03
_cell_angle_gamma 90.00
loop_
_symmetry_equiv_pos_as_xyz
'x,y,z'
'-x,-y,-z'
'-x,y,-z'
'x,-y,z'
'x+1/2,y+1/2,z'
'-x+1/2,-y+1/2,-z'
'-x+1/2,y+1/2,-z'
'x+1/2,-y+1/2,z'
loop_
_atom_site_label
_atom_site_fract_x
_atom_site_fract_y
_atom_site_fract_z
_atom_site_occupancy
Pr1 0.0000 0.0000 0.0000 1
Sm1 0.2482 0.3332 0.7465 1
Sm2 0.2486 0.0000 0.7465 1
Y1 0.0000 0.3334 0.0000 1
Er1 0.0000 0.1670 0.5000 1
Er2 0.0000 0.5000 0.5000 1
# Uncorrected energy ... -119.0 eV for the cell shown
# Formation enthalpy at 0 K ... 0.0161 eV/atom
# N(E_F) ... 29.94 states/eV per cell

=====

# MoOsS GGA-PBE optimized geometry
data_MoOsS
_chemical_formula_sum 'Mo4 Os4 S4'
_symmetry_space_group_name_H-M 'C 1 m 1'
_symmetry_Int_Tables_number 8
_cell_length_a 11.9465
_cell_length_b 2.9096
_cell_length_c 6.5023
_cell_angle_alpha 90.00
_cell_angle_beta 118.18
_cell_angle_gamma 90.00
loop_
_symmetry_equiv_pos_as_xyz
'x,y,z'
'x,-y,z'
'x+1/2,y+1/2,z'
'x+1/2,-y+1/2,z'
loop_
_atom_site_label
_atom_site_fract_x
_atom_site_fract_y
_atom_site_fract_z
_atom_site_occupancy
Mo1 0.0000 0.0000 0.0000 1
Mo2 0.0884 0.5000 0.7247 1
Os1 0.2308 0.5000 0.2118 1
Os2 0.2972 0.0000 0.9638 1
S1 0.0720 0.5000 0.3314 1
S2 0.4065 0.5000 0.5782 1
# Formation energy (no corrections) ... 0.04 eV/atom
# Uncorrected energy ... -104.3 eV for the cell shown
# Energy relative to the lowest polymorph listed for this composition ... 156 meV/atom
# N(E_F) ... 8.59 states/eV per cell

=====

# Pu2MgAl4Pt3 GGA-PBE optimized geometry
data_Pu2MgAl4Pt3
_chemical_formula_sum 'Pu2 Mg1 Al4 Pt3'
_symmetry_space_group_name_H-M 'P -4 m 2'
_symmetry_Int_Tables_number 115
_cell_length_a 4.1278
_cell_length_b 4.1278
_cell_length_c 11.3663
_cell_angle_alpha 90.00
_cell_angle_beta 90.00
_cell_angle_gamma 90.00
loop_
_symmetry_equiv_pos_as_xyz
'x,y,z'
'y,-x,-z'
'-x,-y,z'
'-y,x,-z'
'-x,y,z'
'-y,-x,-z'
'x,-y,z'
'y,x,-z'
loop_
_atom_site_label
_atom_site_fract_x
_atom_site_fract_y
_atom_site_fract_z
_atom_site_occupancy
Pu1 0.0000 0.5000 0.2378 1
Mg1 0.0000 0.0000 0.5000 1
Al1 0.0000 0.0000 0.0000 1
Al2 0.0000 0.5000 0.6462 1
Al3 0.5000 0.5000 0.0000 1
Pt1 0.0000 0.5000 0.8674 1
Pt2 0.5000 0.5000 0.5000 1
# Uncorrected energy ... -70.6 eV for the cell shown
# Formation enthalpy at 0 K ... -0.7254 eV/atom
# N(E_F) ... 27.91 states/eV per cell

=====

# Li2ZrMo GGA-PBE optimized geometry
data_Li2ZrMo
_chemical_formula_sum 'Li4 Zr2 Mo2'
_symmetry_space_group_name_H-M 'C m m m'
_symmetry_Int_Tables_number 65
_symmetry_space_group_name_Hall '-C 2 2'
_cell_length_a 5.3591
_cell_length_b 9.8746
_cell_length_c 2.6681
_cell_angle_alpha 90.00
_cell_angle_beta 90.00
_cell_angle_gamma 90.00
loop_
_atom_site_label
_atom_site_fract_x
_atom_site_fract_y
_atom_site_fract_z
_atom_site_occupancy
Li1 0.2500 0.2500 0.0000 1
Zr1 0.0000 0.0000 0.5000 1
Mo1 0.0000 0.5000 0.5000 1
# Uncorrected energy ... -42.8 eV for the cell shown
# Energy relative to the lowest polymorph listed for this composition ... 229 meV/atom
# Formation enthalpy at 0 K ... 0.4525 eV/atom
# N(E_F) ... 7.21 states/eV per cell

=====

# PmPd8Au5 GGA-PBE optimized geometry
data_PmPd8Au5
_chemical_formula_sum 'Pm2 Pd16 Au10'
_symmetry_space_group_name_H-M 'I -4'
_symmetry_Int_Tables_number 82
_cell_length_a 7.6831
_cell_length_b 7.6831
_cell_length_c 8.6799
_cell_angle_alpha 90.00
_cell_angle_beta 90.00
_cell_angle_gamma 90.00
loop_
_symmetry_equiv_pos_as_xyz
'x,y,z'
'y,-x,-z'
'-x,-y,z'
'-y,x,-z'
'x+1/2,y+1/2,z+1/2'
'y+1/2,-x+1/2,-z+1/2'
'-x+1/2,-y+1/2,z+1/2'
'-y+1/2,x+1/2,-z+1/2'
loop_
_atom_site_label
_atom_site_fract_x
_atom_site_fract_y
_atom_site_fract_z
_atom_site_occupancy
Pm1 0.0000 0.0000 0.0000 1
Pd1 0.0722 0.1642 0.3705 1
Pd2 0.0948 0.3455 0.9868 1
Au1 0.0000 0.5000 0.2500 1
Au2 0.1440 0.2824 0.6801 1
# Uncorrected energy ... -129.7 eV for the cell shown
# Formation enthalpy at 0 K ... -0.1546 eV/atom
# N(E_F) ... 12.84 states/eV per cell